No. 1
HfTlRh2: optimized geometry, PBE-GGA.

Output
Electronic total energy (eV per atom): -6.827
Density of states at the Fermi level (states/eV/cell): 7.6

a = 7.221 Å, b = 7.221 Å, c = 6.029 Å
α = 90.00°, β = 90.00°, γ = 90.00°
Space group I-42d (No. 122)
One atom of each set of equivalent atoms:
Hf 0.000 0.000 0.000 x4
Tl 0.000 0.000 0.500 x4
Rh 0.224 0.250 0.125 x8


No. 2
LuTiHgAu: optimized geometry, PBE-GGA.

Output
Electronic total energy (eV per atom): -4.353
Density of states at the Fermi level (states/eV/cell): 13.3

a = 6.923 Å, b = 6.923 Å, c = 6.923 Å
α = 90.00°, β = 90.00°, γ = 90.00°
Space group F-43m (No. 216)
One atom of each set of equivalent atoms:
Lu 0.000 0.000 0.000 x4
Ti 0.000 0.000 0.500 x4
Hg 0.250 0.250 0.250 x4
Au 0.250 0.250 0.750 x4


No. 3
CdTeRu2: optimized geometry, PBE-GGA.

Output
Electronic total energy (eV per atom): -5.098
ΔE to the lowest computed polymorph (meV/atom): 306
Density of states at the Fermi level (states/eV/cell): 10.9
Uncorrected formation energy (eV/atom): 0.55

a = 3.964 Å, b = 3.964 Å, c = 8.957 Å
α = 90.00°, β = 90.00°, γ = 90.00°
Space group I-4m2 (No. 119)
One atom of each set of equivalent atoms:
Cd 0.000 0.000 0.000 x2
Te 0.000 0.500 0.250 x2
Ru 0.000 0.000 0.500 x2
Ru 0.000 0.500 0.750 x2


No. 4
K2CaTcB: optimized geometry, PBE-GGA.

Output
Electronic total energy (eV per atom): -2.151
Density of states at the Fermi level (states/eV/cell): 3.4

a = 6.769 Å, b = 6.769 Å, c = 5.073 Å
α = 90.00°, β = 90.00°, γ = 90.00°
Space group P4/mmm (No. 123)
One atom of each set of equivalent atoms:
K 0.000 0.500 0.000 x2
Ca 0.000 0.000 0.000 x1
Tc 0.000 0.000 0.500 x1
B 0.500 0.500 0.500 x1


No. 5
KTe2Se: optimized geometry, PBE-GGA.

Output
Electronic total energy (eV per atom): -2.858
Density of states at the Fermi level (states/eV/cell): 8.2
Uncorrected formation energy (eV/atom): -0.14

a = 4.4283 Å, b = 4.4283 Å, c = 24.7141 Å
α = 90.00°, β = 90.00°, γ = 120.00°
Space group R-3m (No. 166, hexagonal axes)
One atom of each set of equivalent atoms:
K 0.0000 0.0000 0.0000 x3
Te 0.0000 0.0000 0.2291 x6
Se 0.0000 0.0000 0.5000 x3


No. 6
Tm2ReN: optimized geometry, PBE-GGA.

Output
Electronic total energy (eV per atom): -7.585
Density of states at the Fermi level (states/eV/cell): 7.6
Uncorrected formation energy (eV/atom): -0.16

a = 3.1515 Å, b = 3.1515 Å, c = 25.0129 Å
α = 90.00°, β = 90.00°, γ = 120.00°
Space group R-3m (No. 166, hexagonal axes)
One atom of each set of equivalent atoms:
Tm 0.0000 0.0000 0.1111 x6
Re 0.0000 0.0000 0.0000 x3
N 0.0000 0.0000 0.5000 x3


No. 7
Cs2In2Bi2Sb: optimized geometry, PBE-GGA.

Output
Electronic total energy (eV per atom): -2.871
Density of states at the Fermi level (states/eV/cell): 2.8
Uncorrected formation energy (eV/atom): -0.15

a = 4.739 Å, b = 7.454 Å, c = 9.897 Å
α = 81.19°, β = 76.20°, γ = 89.82°
Space group P-1 (No. 2)
One atom of each set of equivalent atoms:
Cs 0.119 0.324 0.259 x2
In 0.381 0.186 0.735 x2
Bi 0.226 0.856 0.049 x2
Sb 0.500 0.000 0.500 x1


No. 8
Ac3PmNd5: optimized geometry, PBE-GGA.

Output
Electronic total energy (eV per atom): -4.098
Density of states at the Fermi level (states/eV/cell): 58.1

a = 13.895 Å, b = 8.512 Å, c = 12.654 Å
α = 90.00°, β = 96.17°, γ = 90.00°
Space group C2/m (No. 12)
One atom of each set of equivalent atoms:
Ac 0.000 0.000 0.000 x2
Ac 0.000 0.000 0.500 x2
Ac 0.154 0.500 0.215 x4
Ac 0.225 0.500 0.498 x4
Pm 0.122 0.000 0.256 x4
Nd 0.000 0.336 0.000 x4
Nd 0.025 0.500 0.637 x4
Nd 0.123 0.202 0.768 x8
Nd 0.249 0.500 0.969 x4


Which of these has the lowest electronic total energy?
Tm2ReN


Which value of electronic total energy does entry 6 give?
-7.585 eV per atom